<A>
First-principles (GGA-PBE) data for a relaxed Th2Pa3Se8 crystal, as listed in Alexandria via LeMat-Bulk.

Unit cell a=14.921 b=7.949 c=6.742 alpha=90.00 beta=105.09 gamma=90.00
Space group C2/m (No. 12)
One atom of each set of equivalent atoms:
Th1 0.250 0.000 0.184
Pa1 0.000 0.275 0.500
Pa2 0.000 0.500 0.000
Se1 0.102 0.000 0.392
Se2 0.124 0.244 0.907
Se3 0.137 0.500 0.397

DOS(E_F), states/eV per cell: 26.3
Spin magnetization, μB per formula unit: 5.0


<B>
First-principles (GGA-PBE) data for a relaxed Th2Pa3Se8 crystal, as listed in Alexandria via LeMat-Bulk.

Unit cell a=9.835 b=14.041 c=4.974 alpha=90.00 beta=90.00 gamma=90.00
Space group Cmmm (No. 65)
One atom of each set of equivalent atoms:
Th1 0.000 0.240 0.000
Pa1 0.000 0.500 0.000
Pa2 0.238 0.000 0.500
Se1 0.000 0.125 0.500
Se2 0.000 0.382 0.500
Se3 0.243 0.379 0.000

DOS(E_F), states/eV per cell: 32.5
Spin magnetization, μB per formula unit: 3.2


Sorted by energy, starting with the most stable: <B>, <A>.


<A>
First-principles (GGA-PBE) data for a relaxed PaTiSe2 crystal, as listed in Alexandria via LeMat-Bulk.

Unit cell a=3.4031 b=3.4031 c=27.2776 alpha=90.00 beta=90.00 gamma=120.00
Space group R-3m (No. 166, hexagonal axes)
One atom of each set of equivalent atoms:
Pa1 0.0000 0.0000 0.0000
Ti1 0.0000 0.0000 0.5000
Se1 0.0000 0.0000 0.1068

DOS(E_F), states/eV per cell: 19.7
Spin magnetization, μB per formula unit: 1.2


<B>
First-principles (GGA-PBE) data for a relaxed PaTiSe2 crystal, as listed in Alexandria via LeMat-Bulk.

Unit cell a=3.7192 b=3.7192 c=20.8612 alpha=90.00 beta=90.00 gamma=120.00
Space group R3m (No. 160, hexagonal axes)
One atom of each set of equivalent atoms:
Pa1 0.0000 0.0000 0.0000
Ti1 0.0000 0.0000 0.1758
Se1 0.0000 0.0000 0.5742
Se2 0.0000 0.0000 0.7634

DOS(E_F), states/eV per cell: 15.5
Spin magnetization, μB per formula unit: 0.0


Sorted by energy, starting with the most stable: <B>, <A>.


<A>
First-principles (GGA-PBE) data for a relaxed PaTl2Se3 crystal, as listed in Alexandria via LeMat-Bulk.

Unit cell a=9.310 b=12.578 c=25.781 alpha=90.00 beta=90.00 gamma=90.00
Space group Fddd (No. 70, origin choice 2)
One atom of each set of equivalent atoms:
Pa1 0.125 0.125 0.040
Tl1 0.125 0.125 0.377
Tl2 0.125 0.125 0.548
Se1 0.073 0.375 0.375
Se2 0.109 0.355 0.218

DOS(E_F), states/eV per cell: 91.2
Spin magnetization, μB per formula unit: 1.0


<B>
First-principles (GGA-PBE) data for a relaxed PaTl2Se3 crystal, as listed in Alexandria via LeMat-Bulk.

Unit cell a=6.086 b=16.092 c=4.195 alpha=90.00 beta=90.00 gamma=90.00
Space group Cmmm (No. 65)
One atom of each set of equivalent atoms:
Pa1 0.000 0.000 0.000
Tl1 0.000 0.347 0.500
Se1 0.000 0.118 0.500
Se2 0.000 0.500 0.000

DOS(E_F), states/eV per cell: 9.8
Spin magnetization, μB per formula unit: 0.9


Sorted by energy, starting with the most stable: <A>, <B>.


<A>
First-principles (GGA-PBE) data for a relaxed Pa2TlSe5 crystal, as listed in Alexandria via LeMat-Bulk.

Unit cell a=7.844 b=7.844 c=14.582 alpha=90.00 beta=90.00 gamma=90.00
Space group I4/mcm (No. 140)
One atom of each set of equivalent atoms:
Pa1 0.157 0.343 0.000
Tl1 0.000 0.000 0.250
Se1 0.000 0.000 0.000
Se2 0.146 0.354 0.376

DOS(E_F), states/eV per cell: 5.3
Spin magnetization, μB per formula unit: 1.1


<B>
First-principles (GGA-PBE) data for a relaxed Pa2TlSe5 crystal, as listed in Alexandria via LeMat-Bulk.

Unit cell a=4.328 b=7.127 c=14.864 alpha=90.00 beta=90.00 gamma=90.00
Space group Immm (No. 71)
One atom of each set of equivalent atoms:
Pa1 0.000 0.000 0.186
Tl1 0.000 0.500 0.000
Se1 0.000 0.000 0.000
Se2 0.000 0.240 0.345

DOS(E_F), states/eV per cell: 14.6
Spin magnetization, μB per formula unit: 1.1


Sorted by energy, starting with the most stable: <A>, <B>.


<A>
First-principles (GGA-PBE) data for a relaxed TmPaSe3 crystal, as listed in Alexandria via LeMat-Bulk.

Unit cell a=7.062 b=4.061 c=10.400 alpha=90.00 beta=101.64 gamma=90.00
Space group P2_1/m (No. 11)
One atom of each set of equivalent atoms:
Tm1 0.236 0.250 0.483
Pa1 0.359 0.250 0.843
Se1 0.021 0.750 0.337
Se2 0.256 0.750 0.007
Se3 0.448 0.750 0.652

DOS(E_F), states/eV per cell: 10.9
Spin magnetization, μB per formula unit: 1.8


<B>
First-principles (GGA-PBE) data for a relaxed TmPaSe3 crystal, as listed in Alexandria via LeMat-Bulk.

Unit cell a=4.077 b=20.846 c=7.124 alpha=90.00 beta=90.00 gamma=90.00
Space group Cmc2_1 (No. 36)
One atom of each set of equivalent atoms:
Tm1 0.000 0.164 0.000
Pa1 0.000 0.337 0.003
Se1 0.000 0.091 0.329
Se2 0.000 0.251 0.671
Se3 0.000 0.406 0.337

DOS(E_F), states/eV per cell: 22.5
Spin magnetization, μB per formula unit: 1.0


Sorted by energy, starting with the most stable: <A>, <B>.


<A>
First-principles (GGA-PBE) data for a relaxed TmPaSe2 crystal, as listed in Alexandria via LeMat-Bulk.

Unit cell a=3.9566 b=3.9566 c=20.6629 alpha=90.00 beta=90.00 gamma=120.00
Space group P-3m1 (No. 164)
One atom of each set of equivalent atoms:
Tm1 0.0000 0.0000 0.0000
Tm2 0.3333 0.6667 0.1644
Pa1 0.0000 0.0000 0.5000
Pa2 0.3333 0.6667 0.6697
Se1 0.0000 0.0000 0.2426
Se2 0.3333 0.6667 0.4152
Se3 0.3333 0.6667 0.9188

DOS(E_F), states/eV per cell: 13.0
Spin magnetization, μB per formula unit: 0.2


<B>
First-principles (GGA-PBE) data for a relaxed TmPaSe2 crystal, as listed in Alexandria via LeMat-Bulk.

Unit cell a=4.955 b=4.955 c=3.543 alpha=90.00 beta=90.00 gamma=90.00
Space group P4/mmm (No. 123)
One atom of each set of equivalent atoms:
Tm1 0.000 0.000 0.000
Pa1 0.500 0.500 0.000
Se1 0.000 0.500 0.500

DOS(E_F), states/eV per cell: 5.6
Spin magnetization, μB per formula unit: 1.0


Sorted by energy, starting with the most stable: <A>, <B>.


<A>
First-principles (GGA-PBE) data for a relaxed TmPaSe2 crystal, as listed in Alexandria via LeMat-Bulk.

Unit cell a=3.7419 b=3.7419 c=23.0734 alpha=90.00 beta=90.00 gamma=120.00
Space group R3m (No. 160, hexagonal axes)
One atom of each set of equivalent atoms:
Tm1 0.0000 0.0000 0.0000
Pa1 0.0000 0.0000 0.1699
Se1 0.0000 0.0000 0.5882
Se2 0.0000 0.0000 0.7487

DOS(E_F), states/eV per cell: 13.4
Spin magnetization, μB per formula unit: 0.0


<B>
First-principles (GGA-PBE) data for a relaxed TmPaSe2 crystal, as listed in Alexandria via LeMat-Bulk.

Unit cell a=3.8670 b=3.8670 c=27.1534 alpha=90.00 beta=90.00 gamma=120.00
Space group R-3m (No. 166, hexagonal axes)
One atom of each set of equivalent atoms:
Tm1 0.0000 0.0000 0.0000
Pa1 0.0000 0.0000 0.5000
Se1 0.0000 0.0000 0.3948

DOS(E_F), states/eV per cell: 20.4
Spin magnetization, μB per formula unit: 2.3


Sorted by energy, starting with the most stable: <A>, <B>.


<A>
First-principles (GGA-PBE) data for a relaxed UPaSe2 crystal, as listed in Alexandria via LeMat-Bulk.

Unit cell a=3.6744 b=3.6744 c=28.1959 alpha=90.00 beta=90.00 gamma=120.00
Space group R-3m (No. 166, hexagonal axes)
One atom of each set of equivalent atoms:
U1 0.0000 0.0000 0.0000
Pa1 0.0000 0.0000 0.5000
Se1 0.0000 0.0000 0.4012

DOS(E_F), states/eV per cell: 20.2
Spin magnetization, μB per formula unit: 2.5


<B>
First-principles (GGA-PBE) data for a relaxed UPaSe2 crystal, as listed in Alexandria via LeMat-Bulk.

Unit cell a=5.032 b=5.032 c=3.529 alpha=90.00 beta=90.00 gamma=90.00
Space group P4/mmm (No. 123)
One atom of each set of equivalent atoms:
U1 0.000 0.000 0.000
Pa1 0.500 0.500 0.000
Se1 0.000 0.500 0.500

DOS(E_F), states/eV per cell: 10.1
Spin magnetization, μB per formula unit: 5.2


<C>
First-principles (GGA-PBE) data for a relaxed UPaSe2 crystal, as listed in Alexandria via LeMat-Bulk.

Unit cell a=6.771 b=3.914 c=7.485 alpha=90.00 beta=107.60 gamma=90.00
Space group C2/m (No. 12)
One atom of each set of equivalent atoms:
U1 0.000 0.000 0.000
Pa1 0.000 0.500 0.500
Se1 0.249 0.500 0.247

DOS(E_F), states/eV per cell: 14.9
Spin magnetization, μB per formula unit: 2.1


Sorted by energy, starting with the most stable: <C>, <B>, <A>.